First-principles (GGA-PBE) data for a relaxed LiPtSe3 crystal, as listed in Alexandria via LeMat-Bulk.

Structure (CIF):
```
data_LiPtSe3
_symmetry_space_group_name_H-M 'P 1'
_symmetry_Int_Tables_number 1
_cell_length_a 5.047
_cell_length_b 5.047
_cell_length_c 5.047
_cell_angle_alpha 90.00
_cell_angle_beta 90.00
_cell_angle_gamma 90.00
loop_
_symmetry_equiv_pos_as_xyz
'x,y,z'
loop_
_atom_site_label
_atom_site_type_symbol
_atom_site_fract_x
_atom_site_fract_y
_atom_site_fract_z
Li1 Li 0.000 0.000 0.000
Pt1 Pt 0.500 0.500 0.500
Se1 Se 0.000 0.500 0.500
Se2 Se 0.500 0.000 0.500
Se3 Se 0.500 0.500 0.000
```

Properties
Formation energy without anion corrections   0.09 eV/atom
Excess energy over the best structure of this formula in the dataset   0 meV/atom

=====

First-principles (GGA-PBE) data for a relaxed LiPt2Se crystal, as listed in Alexandria via LeMat-Bulk.

Structure (CIF):
```
data_LiPt2Se
_symmetry_space_group_name_H-M 'P 1'
_symmetry_Int_Tables_number 1
_cell_length_a 3.509
_cell_length_b 3.509
_cell_length_c 5.104
_cell_angle_alpha 90.00
_cell_angle_beta 90.00
_cell_angle_gamma 90.00
loop_
_symmetry_equiv_pos_as_xyz
'x,y,z'
loop_
_atom_site_label
_atom_site_type_symbol
_atom_site_fract_x
_atom_site_fract_y
_atom_site_fract_z
Li1 Li 0.000 0.000 0.000
Pt1 Pt 0.000 0.000 0.496
Pt2 Pt 0.500 0.500 0.219
Se1 Se 0.500 0.500 0.722
```

Properties
Formation energy without anion corrections   -0.23 eV/atom

=====

First-principles (GGA-PBE) data for a relaxed LiPtSe crystal, as listed in Alexandria via LeMat-Bulk.

Structure (CIF):
```
data_LiPtSe
_symmetry_space_group_name_H-M 'P 1'
_symmetry_Int_Tables_number 1
_cell_length_a 2.785
_cell_length_b 2.785
_cell_length_c 7.775
_cell_angle_alpha 90.00
_cell_angle_beta 90.00
_cell_angle_gamma 120.00
loop_
_symmetry_equiv_pos_as_xyz
'x,y,z'
loop_
_atom_site_label
_atom_site_type_symbol
_atom_site_fract_x
_atom_site_fract_y
_atom_site_fract_z
Li1 Li 0.000 0.000 0.000
Pt1 Pt 0.667 0.333 0.264
Se1 Se 0.333 0.667 0.722
```

Properties
Formation energy without anion corrections   -0.22 eV/atom
Excess energy over the best structure of this formula in the dataset   282 meV/atom

=====

First-principles (GGA-PBE) data for a relaxed LiPt2Se crystal, as listed in Alexandria via LeMat-Bulk.

Structure (CIF):
```
data_LiPt2Se
_symmetry_space_group_name_H-M 'P 1'
_symmetry_Int_Tables_number 1
_cell_length_a 2.832
_cell_length_b 2.832
_cell_length_c 7.948
_cell_angle_alpha 90.00
_cell_angle_beta 90.00
_cell_angle_gamma 90.00
loop_
_symmetry_equiv_pos_as_xyz
'x,y,z'
loop_
_atom_site_label
_atom_site_type_symbol
_atom_site_fract_x
_atom_site_fract_y
_atom_site_fract_z
Li1 Li 0.000 0.000 0.000
Pt1 Pt 0.000 0.000 0.480
Pt2 Pt 0.500 0.500 0.226
Se1 Se 0.500 0.500 0.734
```

Properties
Formation energy without anion corrections   -0.14 eV/atom